A plane-wave DFT calculation with GGA+U was carried out for a geometry-optimized SrLaMnMoO6 structure.

Summary:
energy: -7.551 eV/atom
spin magnetization: 12.00 Bohr magnetons per cell

a = 5.6857 Å, b = 5.8343 Å, c = 8.1678 Å
α = 90.00°, β = 89.50°, γ = 90.00°
Last column: nearest neighbours and their distance in Å.
Atoms (fractional coordinates):
O  0.7752  0.8103  0.4650  1 Mo 1.95
O  0.2752  0.6897  0.9650  1 Mo 1.95
O  0.2947  0.7252  0.5493  1 Mo 2.04, 1 Mn 2.19
O  0.7187  0.3123  0.0451  1 Mo 1.96
O  0.7946  0.7748  0.0493  1 Mo 2.04, 1 Mn 2.19
O  0.2187  0.1877  0.5451  1 Mo 1.96
O  0.4239  0.9662  0.2592  1 Mo 2.02, 1 Mn 2.18
O  0.1857  0.2023  0.9472  1 Mo 2.05, 1 Mn 2.17
O  0.9239  0.5338  0.7592  1 Mo 2.02, 1 Mn 2.18
O  0.6857  0.2977  0.4472  1 Mo 2.05, 1 Mn 2.17
O  0.1005  0.4715  0.2410  1 Mo 2.06, 1 Mn 2.18
O  0.6005  0.0285  0.7410  1 Mo 2.06, 1 Mn 2.18
Sr  0.9937  0.0411  0.2466  5 O 2.49-2.78
Sr  0.4937  0.4589  0.7466  5 O 2.49-2.78
Mo  0.0001  0.4959  0.9994  6 O 1.95-2.06
Mo  0.5001  0.0041  0.4994  6 O 1.95-2.06
Mn  0.0007  0.4951  0.4986  6 O 2.17-2.26
Mn  0.5007  0.0049  0.9986  6 O 2.17-2.26
La  0.5068  0.5533  0.2487  5 O 2.36-2.64
La  0.0068  0.9467  0.7487  5 O 2.36-2.64